No. 1
# RePbC3, relaxed, DFT PBE
# M_tot	0.0	μB per formula unit
# formation energy	94.69	kcal/mol of atoms
# density of states at the Fermi level	1.695	states/eV/atom
data_RePbC3
_cell_length_a 4.251
_cell_length_b 4.251
_cell_length_c 4.251
_cell_angle_alpha 90.00
_cell_angle_beta 90.00
_cell_angle_gamma 90.00
_symmetry_space_group_name_H-M 'P m -3 m'
_symmetry_Int_Tables_number 221
_symmetry_space_group_name_Hall '-P 4 2 3'
loop_
_atom_site_label
_atom_site_type_symbol
_atom_site_fract_x
_atom_site_fract_y
_atom_site_fract_z
Re1 Re 0.000 0.000 0.000
Pb1 Pb 0.500 0.500 0.500
C1 C 0.000 0.500 0.500

No. 2
# MnBi2W, relaxed, DFT PBE
# M_tot	3.4	μB per formula unit
# formation energy	20.05	kcal/mol of atoms
# density of states at the Fermi level	0.888	states/eV/atom
data_MnBi2W
_cell_length_a 6.970
_cell_length_b 6.970
_cell_length_c 6.970
_cell_angle_alpha 90.00
_cell_angle_beta 90.00
_cell_angle_gamma 90.00
_symmetry_space_group_name_H-M 'F m -3 m'
_symmetry_Int_Tables_number 225
_symmetry_space_group_name_Hall '-F 4 2 3'
loop_
_atom_site_label
_atom_site_type_symbol
_atom_site_fract_x
_atom_site_fract_y
_atom_site_fract_z
Mn1 Mn 0.000 0.000 0.000
Bi1 Bi 0.250 0.250 0.250
W1 W 0.000 0.000 0.500

No. 3
# MnTlSnBr6, relaxed, DFT PBE
# M_tot	4.1	μB per formula unit
# density of states at the Fermi level	0.333	states/eV/atom
# E_form (uncorrected)	-0.736	eV/atom
data_MnTlSnBr6
_cell_length_a 7.1498
_cell_length_b 7.1498
_cell_length_c 7.2655
_cell_angle_alpha 90.00
_cell_angle_beta 90.00
_cell_angle_gamma 120.00
_symmetry_space_group_name_H-M 'P 3 1 2'
_symmetry_Int_Tables_number 149
loop_
_symmetry_equiv_pos_as_xyz
'x,y,z'
'-y,x-y,z'
'-x+y,-x,z'
'-y,-x,-z'
'-x+y,y,-z'
'x,x-y,-z'
loop_
_atom_site_label
_atom_site_type_symbol
_atom_site_fract_x
_atom_site_fract_y
_atom_site_fract_z
Mn1 Mn 0.0000 0.0000 0.0000
Tl1 Tl 0.3333 0.6667 0.5000
Sn1 Sn 0.6667 0.3333 0.0000
Br1 Br 0.3199 0.0300 0.2160

No. 4
# Ca3Hg2Pb3, relaxed, DFT PBE
# M_tot	0.0	μB per formula unit
# formation energy	-10.00	kcal/mol of atoms
# density of states at the Fermi level	0.554	states/eV/atom
data_Ca3Hg2Pb3
_cell_length_a 8.3543
_cell_length_b 8.3543
_cell_length_c 3.8412
_cell_angle_alpha 90.00
_cell_angle_beta 90.00
_cell_angle_gamma 120.00
_symmetry_space_group_name_H-M 'P -6 2 m'
_symmetry_Int_Tables_number 189
_symmetry_space_group_name_Hall 'P -6 -2'
loop_
_atom_site_label
_atom_site_type_symbol
_atom_site_fract_x
_atom_site_fract_y
_atom_site_fract_z
Ca1 Ca 0.0000 0.6115 0.0000
Hg1 Hg 0.3333 0.6667 0.5000
Pb1 Pb 0.0000 0.2445 0.5000

No. 5
# AlSnPb, relaxed, DFT PBE
# M_tot	0.0	μB per formula unit
# formation energy	3.86	kcal/mol of atoms
# density of states at the Fermi level	0.472	states/eV/atom
data_AlSnPb
_cell_length_a 6.999
_cell_length_b 6.999
_cell_length_c 6.999
_cell_angle_alpha 90.00
_cell_angle_beta 90.00
_cell_angle_gamma 90.00
_symmetry_space_group_name_H-M 'F -4 3 m'
_symmetry_Int_Tables_number 216
_symmetry_space_group_name_Hall 'F -4 2 3'
loop_
_atom_site_label
_atom_site_type_symbol
_atom_site_fract_x
_atom_site_fract_y
_atom_site_fract_z
Al1 Al 0.000 0.000 0.000
Sn1 Sn 0.250 0.250 0.250
Pb1 Pb 0.250 0.250 0.750

No. 6
# NdHo2TmAu4, relaxed, DFT PBE
# M_tot	0.0	μB per formula unit
# formation energy	-19.46	kcal/mol of atoms
# density of states at the Fermi level	0.504	states/eV/atom
data_NdHo2TmAu4
_cell_length_a 5.0789
_cell_length_b 5.0789
_cell_length_c 25.3592
_cell_angle_alpha 90.00
_cell_angle_beta 90.00
_cell_angle_gamma 120.00
_symmetry_space_group_name_H-M 'R -3 m'
_symmetry_Int_Tables_number 166
_symmetry_space_group_name_Hall '-R 3 2"'
loop_
_atom_site_label
_atom_site_type_symbol
_atom_site_fract_x
_atom_site_fract_y
_atom_site_fract_z
Nd1 Nd 0.0000 0.0000 0.0000
Ho1 Ho 0.0000 0.0000 0.2484
Tm1 Tm 0.0000 0.0000 0.5000
Au1 Au 0.0000 0.0000 0.1284
Au2 Au 0.0000 0.0000 0.3817

No. 7
# PmMgCu, relaxed, DFT PBE
# M_tot	0.0	μB per formula unit
# formation energy	-3.74	kcal/mol of atoms
# density of states at the Fermi level	0.900	states/eV/atom
data_PmMgCu
_cell_length_a 12.444
_cell_length_b 4.298
_cell_length_c 5.334
_cell_angle_alpha 90.00
_cell_angle_beta 100.95
_cell_angle_gamma 90.00
_symmetry_space_group_name_H-M 'C 1 2/m 1'
_symmetry_Int_Tables_number 12
loop_
_symmetry_equiv_pos_as_xyz
'x,y,z'
'-x,-y,-z'
'-x,y,-z'
'x,-y,z'
'x+1/2,y+1/2,z'
'-x+1/2,-y+1/2,-z'
'-x+1/2,y+1/2,-z'
'x+1/2,-y+1/2,z'
loop_
_atom_site_label
_atom_site_type_symbol
_atom_site_fract_x
_atom_site_fract_y
_atom_site_fract_z
Pm1 Pm 0.129 0.000 0.304
Mg1 Mg 0.086 0.500 0.781
Cu1 Cu 0.227 0.000 0.858

No. 8
# Ac2Pr2Pb5, relaxed, DFT PBE
# M_tot	0.0	μB per formula unit
# formation energy	-9.01	kcal/mol of atoms
# density of states at the Fermi level	0.735	states/eV/atom
data_Ac2Pr2Pb5
_cell_length_a 15.620
_cell_length_b 8.938
_cell_length_c 9.026
_cell_angle_alpha 90.00
_cell_angle_beta 90.00
_cell_angle_gamma 90.00
_symmetry_space_group_name_H-M 'C m c e'
_symmetry_Int_Tables_number 64
_symmetry_space_group_name_Hall '-C 2ac 2'
loop_
_atom_site_label
_atom_site_type_symbol
_atom_site_fract_x
_atom_site_fract_y
_atom_site_fract_z
Ac1 Ac 0.000 0.140 0.140
Pr1 Pr 0.205 0.000 0.500
Pb1 Pb 0.000 0.000 0.500
Pb2 Pb 0.149 0.178 0.822

Q: What is the density of states at the Fermi level in the seventh record?
A: 0.900 states/eV/atom